Version one
Li2NdMg2: optimized geometry, GGA-PBE.

Lattice parameters (Å, degrees): 3.273 5.178 7.899 108.99 101.96 90.00
Atoms (fractional coordinates):
1 Mg 0.393 0.394 0.785
2 Mg 0.607 0.606 0.215
3 Li 0.284 0.784 0.567
4 Li 0.716 0.216 0.433
5 Nd 0.000 0.000 0.000

Space-group type = C2/m, No. 12
Spin magnetization = 0.00 Bohr magnetons per cell

Version two
Li2NdMg2: optimized geometry, GGA-PBE.

Lattice parameters (Å, degrees): 3.530 7.032 11.202 118.00 99.07 90.00
Atoms (fractional coordinates):
1 Mg 0.621 0.682 0.243
2 Mg 0.379 0.318 0.757
3 Mg 0.621 0.182 0.243
4 Mg 0.379 0.818 0.757
5 Nd 0.000 0.750 0.000
6 Nd 0.000 0.250 0.000
7 Li 0.207 0.061 0.415
8 Li 0.793 0.939 0.585
9 Li 0.207 0.561 0.415
10 Li 0.793 0.439 0.585

Space-group type = C2/m, No. 12
Spin magnetization = 0.00 Bohr magnetons per cell

Quick one: least stable of them? version one

Version one
LiNdMg2: optimized geometry, GGA-PBE.

Lattice parameters (Å, degrees): 5.189 5.189 5.190 89.94 120.03 120.03
Atoms (fractional coordinates):
1 Mg 0.625 0.063 0.687
2 Mg 0.125 0.813 0.938
3 Nd 0.625 0.563 0.188
4 Li 0.125 0.312 0.437

Space-group type = F-43m, No. 216
Spin magnetization = 0.00 Bohr magnetons per cell

Version two
LiNdMg2: optimized geometry, GGA-PBE.

Lattice parameters (Å, degrees): 3.345 3.345 10.963 81.22 81.22 60.00
Atoms (fractional coordinates):
1 Li 0.667 0.667 0.999
2 Mg 0.257 0.257 0.230
3 Mg 0.077 0.077 0.770
4 Nd 0.500 0.500 0.501

Space-group type = R3m, No. 160
Spin magnetization = 0.00 Bohr magnetons per cell

Version three
LiNdMg2: optimized geometry, GGA-PBE.

Lattice parameters (Å, degrees): 3.554 3.554 7.979 90.00 90.00 90.00
Atoms (fractional coordinates):
1 Li 0.500 0.500 0.000
2 Nd 0.500 0.500 0.500
3 Mg 0.000 0.000 0.208
4 Mg 0.000 0.000 0.792

Space-group type = P4/mmm, No. 123
Spin magnetization = 0.00 Bohr magnetons per cell

Version four
LiNdMg2: optimized geometry, GGA-PBE.

Lattice parameters (Å, degrees): 5.244 5.244 5.244 60.00 60.00 60.00
Atoms (fractional coordinates):
1 Nd 0.500 0.500 0.500
2 Li 0.000 0.000 0.000
3 Mg 0.750 0.750 0.750
4 Mg 0.250 0.250 0.250

Space-group type = Fm-3m, No. 225
Spin magnetization = 0.00 Bohr magnetons per cell

Quick one: least stable of them? version two

Version one
LiNdMg3: optimized geometry, GGA-PBE.

Lattice parameters (Å, degrees): 4.964 4.964 4.964 90.00 90.00 90.00
Atoms (fractional coordinates):
1 Nd 0.500 0.500 0.500
2 Li 0.000 0.000 0.000
3 Mg 0.000 0.500 0.000
4 Mg 0.500 0.000 0.000
5 Mg 0.000 0.000 0.500

Space-group type = Pm-3m, No. 221
Spin magnetization = 0.00 Bohr magnetons per cell

Version two
LiNdMg3: optimized geometry, GGA-PBE.

Lattice parameters (Å, degrees): 5.630 5.630 10.025 106.31 106.31 90.00
Atoms (fractional coordinates):
1 Nd 0.556 0.056 0.112
2 Nd 0.944 0.444 0.888
3 Mg 0.703 0.703 0.406
4 Mg 0.621 0.874 0.748
5 Mg 0.127 0.874 0.748
6 Mg 0.126 0.873 0.252
7 Mg 0.126 0.379 0.252
8 Mg 0.297 0.297 0.594
9 Li 0.250 0.750 0.500
10 Li 0.000 0.000 0.000

Space-group type = I-4m2, No. 119
Spin magnetization = 0.00 Bohr magnetons per cell

Quick one: least stable of them? version two